{"formula": "Ac3GaNi2O9", "functional": "PBE+U", "state": "optimized geometry", "final_energy_ev_per_cell": -99.6, "spacegroup": "No. 164", "magmom_total_mub_per_fu": 2.0, "n_ef_per_ev_cell": 2.167, "lattice_angstrom": [[-1.829, 3.681, -3.789], [-2.815, -0.729, 4.774], [3.739, 4.897, 2.953]], "species": ["O", "O", "O", "O", "O", "O", "O", "O", "O", "Ac", "Ac", "Ac", "Ga", "Ni", "Ni"], "frac_coords": [[0.166, 0.333, 0.333], [0.000, 0.500, 0.000], [0.834, 0.166, 0.667], [0.500, 0.500, 0.000], [0.333, 0.166, 0.667], [0.166, 0.834, 0.333], [0.500, 0.000, 0.000], [0.667, 0.834, 0.333], [0.834, 0.667, 0.667], [0.667, 0.333, 0.331], [0.333, 0.667, 0.669], [0.000, 0.000, 0.000], [0.000, 0.000, 0.500], [0.333, 0.667, 0.167], [0.667, 0.333, 0.833]]}